(1)
YHoPd | PBE | optimized geometry

Lattice parameters (Å, degrees): 7.091 4.857 8.735 90.00 90.00 90.00
Atoms (fractional coordinates):
Ho: 0.855 0.750 0.080
Ho: 0.355 0.750 0.420
Ho: 0.645 0.250 0.580
Ho: 0.145 0.250 0.920
Pd: 0.256 0.750 0.095
Pd: 0.756 0.750 0.405
Pd: 0.244 0.250 0.595
Pd: 0.744 0.250 0.905
Y: 0.515 0.250 0.172
Y: 0.015 0.250 0.328
Y: 0.985 0.750 0.672
Y: 0.485 0.750 0.828

* energy of formation: -0.640 eV/atom

***

(2)
YHoPd2 | PBE | optimized geometry

Lattice parameters (Å, degrees): 4.472 5.679 6.905 90.00 90.00 90.00
Atoms (fractional coordinates):
Ho: 0.000 0.609 0.182
Ho: 0.000 0.391 0.682
Pd: 0.000 0.098 0.041
Pd: 0.500 0.595 0.459
Pd: 0.000 0.902 0.541
Pd: 0.500 0.405 0.959
Y: 0.500 0.109 0.318
Y: 0.500 0.891 0.818

* energy of formation: -0.923 eV/atom

***

(3)
YHoPd2 | PBE | optimized geometry

Lattice parameters (Å, degrees): 5.604 4.547 6.929 90.00 90.41 90.00
Atoms (fractional coordinates):
Ho: 0.142 0.250 0.318
Ho: 0.858 0.750 0.682
Pd: 0.152 0.750 0.044
Pd: 0.655 0.250 0.460
Pd: 0.345 0.750 0.540
Pd: 0.848 0.250 0.956
Y: 0.643 0.750 0.183
Y: 0.357 0.250 0.817

* energy of formation: -0.928 eV/atom

***

(4)
YHoPd2 | PBE | optimized geometry

Lattice parameters (Å, degrees): 4.471 6.928 5.683 90.00 90.00 90.00
Atoms (fractional coordinates):
Ho: 0.500 0.931 0.359
Ho: 0.000 0.069 0.859
Pd: 0.000 0.715 0.154
Pd: 0.000 0.203 0.346
Pd: 0.500 0.285 0.654
Pd: 0.500 0.797 0.846
Y: 0.500 0.432 0.142
Y: 0.000 0.568 0.642

* energy of formation: -0.925 eV/atom

***

(5)
YHoPd | PBE | optimized geometry

Lattice parameters (Å, degrees): 4.865 4.865 4.865 60.00 60.00 60.00
Atoms (fractional coordinates):
Ho: 0.250 0.250 0.250
Pd: 0.000 0.000 0.000
Y: 0.750 0.750 0.750

* energy of formation: -0.482 eV/atom

***

(6)
YHoPd | PBE | optimized geometry

Lattice parameters (Å, degrees): 7.040 4.881 8.790 90.00 90.00 90.00
Atoms (fractional coordinates):
Ho: 0.515 0.250 0.171
Ho: 0.015 0.250 0.329
Ho: 0.985 0.750 0.671
Ho: 0.485 0.750 0.829
Pd: 0.266 0.750 0.093
Pd: 0.766 0.750 0.407
Pd: 0.234 0.250 0.593
Pd: 0.734 0.250 0.907
Y: 0.855 0.750 0.082
Y: 0.355 0.750 0.418
Y: 0.645 0.250 0.582
Y: 0.145 0.250 0.918

* energy of formation: -0.627 eV/atom

***

Which value of energy of formation does entry 5 give?
-0.482 eV/atom

***

Number 4 is which compound?
YHoPd2